HoTm4Hg4 | PBE | optimized geometry

Cell: 9.441 9.441 5.445 Å, 90.00 90.00 90.00°
Fractional positions:
Ho1 0.250 0.250 0.250
Ho2 0.750 0.750 0.750
Tm1 0.100 0.840 0.648
Tm2 0.160 0.600 0.148
Tm3 0.340 0.900 0.148
Tm4 0.400 0.660 0.648
Tm5 0.600 0.340 0.352
Tm6 0.660 0.100 0.852
Tm7 0.840 0.400 0.852
Tm8 0.900 0.160 0.352
Hg1 0.044 0.146 0.854
Hg2 0.146 0.456 0.646
Hg3 0.354 0.044 0.646
Hg4 0.456 0.354 0.854
Hg5 0.544 0.646 0.146
Hg6 0.646 0.956 0.354
Hg7 0.854 0.544 0.354
Hg8 0.956 0.854 0.146

Properties
The calculation puts the formation energy at -0.239 eV/atom.

---

TbSm4Y3Te8 | PBE | optimized geometry

Cell: 8.832 8.832 8.832 Å, 59.73 59.73 59.73°
Fractional positions:
Tb1 0.000 0.000 0.000
Sm1 0.000 0.000 0.500
Sm2 0.000 0.500 0.000
Sm3 0.500 0.000 0.000
Sm4 0.500 0.500 0.500
Y1 0.000 0.500 0.500
Y2 0.500 0.000 0.500
Y3 0.500 0.500 0.000
Te1 0.248 0.248 0.747
Te2 0.248 0.747 0.248
Te3 0.252 0.252 0.252
Te4 0.253 0.752 0.752
Te5 0.747 0.248 0.248
Te6 0.748 0.748 0.748
Te7 0.752 0.253 0.752
Te8 0.752 0.752 0.253

Properties
The formation energy (no corrections) is -1.34 eV/atom.

---

Sc2Be | PBE | optimized geometry

Cell: 4.503 4.503 3.242 Å, 90.00 90.00 120.00°
Fractional positions:
Sc1 0.333 0.667 0.280
Sc2 0.667 0.333 0.720
Be1 0.000 0.000 0.000

Properties
The calculation puts the formation energy at 0.197 eV/atom. The calculation puts the distance to the lowest polymorph of the same formula at 0.2281 eV per atom.

---

Hg2HF6 | PBE | optimized geometry

Cell: 5.350 5.684 5.694 Å, 80.60 70.78 70.98°
Fractional positions:
Hg1 0.000 0.000 0.000
Hg2 0.000 0.500 0.500
H1 0.500 0.000 0.500
F1 0.001 0.751 0.748
F2 0.239 0.682 0.181
F3 0.347 0.142 0.642
F4 0.653 0.858 0.358
F5 0.761 0.318 0.819
F6 0.999 0.249 0.252

---

SrMgNi2 | PBE | optimized geometry

Cell: 3.166 3.605 6.642 Å, 90.00 90.12 90.00°
Fractional positions:
Sr1 0.000 0.000 0.000
Mg1 0.000 0.000 0.500
Ni1 0.499 0.500 0.316
Ni2 0.501 0.500 0.684

Properties
The calculation puts the formation energy at 0.088 eV/atom.

---

Na3CeDy2Te6 | PBE | optimized geometry

Cell: 7.758 7.758 7.977 Å, 99.33 99.33 120.02°
Fractional positions:
Na1 0.000 0.000 0.000
Na2 0.335 0.665 0.000
Na3 0.665 0.335 0.000
Ce1 0.500 0.500 0.500
Dy1 0.167 0.833 0.500
Dy2 0.833 0.167 0.500
Te1 0.080 0.422 0.265
Te2 0.236 0.236 0.735
Te3 0.422 0.080 0.265
Te4 0.578 0.920 0.735
Te5 0.764 0.764 0.265
Te6 0.920 0.578 0.735

Properties
The formation energy (no corrections) is -1.29 eV/atom.

---

La2Mg15Tl2 | PBE | optimized geometry

Cell: 7.855 7.855 7.855 Å, 82.79 82.79 82.79°
Fractional positions:
La1 0.172 0.172 0.172
La2 0.828 0.828 0.828
Mg1 0.000 0.500 0.500
Mg2 0.149 0.149 0.665
Mg3 0.149 0.665 0.149
Mg4 0.193 0.500 0.807
Mg5 0.193 0.807 0.500
Mg6 0.335 0.851 0.851
Mg7 0.500 0.000 0.500
Mg8 0.500 0.193 0.807
Mg9 0.500 0.500 0.000
Mg10 0.500 0.807 0.193
Mg11 0.665 0.149 0.149
Mg12 0.807 0.193 0.500
Mg13 0.807 0.500 0.193
Mg14 0.851 0.335 0.851
Mg15 0.851 0.851 0.335
Tl1 0.397 0.397 0.397
Tl2 0.603 0.603 0.603

Properties
The calculation puts the formation energy at -0.095 eV/atom.

---

| no. | E_tot (eV per atom) | total magnetic moment (μB per formula unit) |
| --- | --- | --- |
| 1 | -2.8693 | 0.00 |
| 2 | -5.5962 | 0.00 |
| 3 | -5.2663 | 0.00 |
| 4 | -2.9979 | 0.00 |
| 5 | -3.6215 | 0.00 |
| 6 | -4.4538 | 1.02 |
| 7 | -2.1218 | 0.00 |